# 1
Here is a relaxed YCuPbSeS2 crystal from OQMD. Energies are from GGA-PBE.

abc: 6.9282 6.9282 10.5480
angles: 90.00 90.00 146.84
Closest atoms and distances in Å follow each position.
Positions (direct):
Y (0.0000, 0.0000, 0.0000)  4 S 2.75, 2 Se 2.87
Y (0.0000, 0.0000, 0.5000)  4 S 2.75, 2 Se 2.87
Cu (0.4667, 0.5333, 0.7500)  2 S 2.32, 2 Se 2.53
Cu (0.5333, 0.4667, 0.2500)  2 S 2.32, 2 Se 2.53
Pb (0.2327, 0.7673, 0.2500)  4 S 3.04, 2 Se 3.12, 2 Cu 3.30
Pb (0.7673, 0.2327, 0.7500)  4 S 3.04, 2 Se 3.12, 2 Cu 3.30
Se (0.0852, 0.9148, 0.7500)  2 Cu 2.53
Se (0.9148, 0.0852, 0.2500)  2 Cu 2.53
S (0.3668, 0.6332, 0.5699)  1 Cu 2.32
S (0.3668, 0.6332, 0.9301)  1 Cu 2.32
S (0.6332, 0.3668, 0.0699)  1 Cu 2.32
S (0.6332, 0.3668, 0.4301)  1 Cu 2.32

offset from the most stable computed form = 7 meV per atom
size of the total moment = 0.01 Bohr magnetons per cell
space-group type = Cmcm (63)

# 2
Here is a relaxed AcErSn crystal from OQMD. Energies are from GGA-PBE.

abc: 5.3731 5.3731 5.3731
angles: 60.00 60.00 60.00
Closest atoms and distances in Å follow each position.
Positions (direct):
Ac (0.0000, 0.0000, 0.0000)  4 Sn 3.29
Er (0.5000, 0.5000, 0.5000)  4 Sn 3.29
Sn (0.2500, 0.2500, 0.2500)  4 Er 3.29, 4 Ac 3.29

offset from the most stable computed form = 0 meV per atom
size of the total moment = 0.02 Bohr magnetons per cell
space-group type = F-43m (216)

# 3
Here is a relaxed GdAsAuO crystal from OQMD. Energies are from GGA-PBE.

abc: 4.0671 4.0671 8.8703
angles: 90.00 90.00 90.00
Closest atoms and distances in Å follow each position.
Positions (direct):
Gd (0.2500, 0.2500, 0.1217)  4 O 2.30
Gd (0.7500, 0.7500, 0.8783)  4 O 2.30
As (0.2500, 0.2500, 0.6960)  4 Au 2.68
As (0.7500, 0.7500, 0.3040)  4 Au 2.68
Au (0.2500, 0.7500, 0.5000)  4 As 2.68, 4 Au 2.88
Au (0.7500, 0.2500, 0.5000)  4 As 2.68, 4 Au 2.88
O (0.2500, 0.7500, 0.0000)  4 Gd 2.30
O (0.7500, 0.2500, 0.0000)  4 Gd 2.30

offset from the most stable computed form = 0 meV per atom
size of the total moment = 0.01 Bohr magnetons per cell
space-group type = P4/nmm (129)

# 4
Here is a relaxed YGaIr crystal from OQMD. Energies are from GGA-PBE.

abc: 4.4612 4.4612 4.4612
angles: 60.00 60.00 60.00
Closest atoms and distances in Å follow each position.
Positions (direct):
Y (0.0000, 0.0000, 0.0000)  4 Ga 2.73
Ga (0.7500, 0.7500, 0.7500)  4 Ir 2.73, 4 Y 2.73
Ir (0.5000, 0.5000, 0.5000)  4 Ga 2.73

size of the total moment = 0.00 Bohr magnetons per cell
calculated total energy = -6.413 eV/atom
space-group type = F-43m (216)

# 5
Here is a relaxed BaSnIr crystal from OQMD. Energies are from GGA-PBE.

abc: 4.9869 4.9869 4.9869
angles: 60.00 60.00 60.00
Closest atoms and distances in Å follow each position.
Positions (direct):
Ba (0.0000, 0.0000, 0.0000)  4 Ir 3.05
Sn (0.5000, 0.5000, 0.5000)  4 Ir 3.05
Ir (0.2500, 0.2500, 0.2500)  4 Sn 3.05, 4 Ba 3.05

size of the total moment = 0.00 Bohr magnetons per cell
calculated total energy = -4.956 eV/atom
space-group type = F-43m (216)

# 6
Here is a relaxed AcPtAu crystal from OQMD. Energies are from GGA-PBE.

abc: 5.0179 5.0179 5.0179
angles: 60.00 60.00 60.00
Closest atoms and distances in Å follow each position.
Positions (direct):
Ac (0.0000, 0.0000, 0.0000)  4 Au 3.07, 4 Pt 3.07
Pt (0.2500, 0.2500, 0.2500)  4 Ac 3.07
Au (0.7500, 0.7500, 0.7500)  4 Ac 3.07

offset from the most stable computed form = 424 meV per atom
size of the total moment = 0.00 Bohr magnetons per cell
formation energy from the elements = -518 meV/atom
space-group type = F-43m (216)

# 7
Here is a relaxed HgSb2O6 crystal from OQMD. Energies are from GGA-PBE.

abc: 5.3086 5.3086 4.8808
angles: 90.00 90.00 120.00
Closest atoms and distances in Å follow each position.
Positions (direct):
Hg (0.0000, 0.0000, 0.0000)  6 O 2.38
Sb (0.3333, 0.6667, 0.5000)  6 O 2.01
Sb (0.6667, 0.3333, 0.5000)  6 O 2.01
O (0.0000, 0.3708, 0.2752)  2 Sb 2.01
O (0.0000, 0.6292, 0.7248)  2 Sb 2.01
O (0.3708, 0.0000, 0.2752)  2 Sb 2.01
O (0.3708, 0.3708, 0.7248)  2 Sb 2.01
O (0.6292, 0.0000, 0.7248)  2 Sb 2.01
O (0.6292, 0.6292, 0.2752)  2 Sb 2.01

calculated total energy = -5.400 eV/atom
space-group type = P-31m (162)

# 8
Here is a relaxed Sr2CoAs crystal from OQMD. Energies are from GGA-PBE.

abc: 5.0241 5.0241 5.0241
angles: 60.00 60.00 60.00
Closest atoms and distances in Å follow each position.
Positions (direct):
Sr (0.0000, 0.0000, 0.0000)  4 Co 3.08, 4 Sr 3.08
Sr (0.2500, 0.2500, 0.2500)  4 As 3.08, 4 Sr 3.08
Co (0.7500, 0.7500, 0.7500)  4 As 3.08, 4 Sr 3.08
As (0.5000, 0.5000, 0.5000)  4 Co 3.08, 4 Sr 3.08

size of the total moment = 0.01 Bohr magnetons per cell
calculated total energy = -3.620 eV/atom
space-group type = F-43m (216)

# 9
Here is a relaxed Ho2TmCu4Si4 crystal from OQMD. Energies are from GGA-PBE.

abc: 7.7985 7.7985 7.7985
angles: 149.50 130.76 59.03
Closest atoms and distances in Å follow each position.
Positions (direct):
Ho (0.1292, 0.1292, 0.0000)  6 Cu 2.92-3.01, 6 Si 2.93-2.96
Ho (0.8708, 0.8708, 0.0000)  6 Cu 2.92-3.01, 6 Si 2.93-2.96
Tm (0.5000, 0.0000, 0.5000)  6 Si 2.89-2.93
Cu (0.1398, 0.3309, 0.8089)  4 Si 2.43-2.54, 1 Cu 2.48
Cu (0.4780, 0.6691, 0.8089)  4 Si 2.43-2.54, 1 Cu 2.48
Cu (0.5220, 0.3309, 0.1911)  4 Si 2.43-2.54, 1 Cu 2.48
Cu (0.8602, 0.6691, 0.1911)  4 Si 2.43-2.54, 1 Cu 2.48
Si (0.1858, 0.5000, 0.6858)  1 Si 2.41, 2 Cu 2.43
Si (0.2838, 0.7838, 0.5000)  6 Cu 2.48-2.54
Si (0.7162, 0.2162, 0.5000)  6 Cu 2.48-2.54
Si (0.8142, 0.5000, 0.3142)  1 Si 2.41, 2 Cu 2.43

size of the total moment = 0.00 Bohr magnetons per cell
calculated total energy = -5.198 eV/atom
space-group type = Immm (71)

# 10
Here is a relaxed ZnMo crystal from OQMD. Energies are from GGA-PBE.

abc: 2.7752 2.7752 4.5798
angles: 90.00 90.00 120.00
Closest atoms and distances in Å follow each position.
Positions (direct):
Zn (0.0000, 0.0000, 0.0000)  6 Zn 2.78, 6 Mo 2.79
Mo (0.3333, 0.6667, 0.5000)  6 Mo 2.78, 6 Zn 2.79

offset from the most stable computed form = 177 meV per atom
size of the total moment = 0.00 Bohr magnetons per cell
formation energy from the elements = 238 meV/atom
space-group type = P-6m2 (187)

# 11
Here is a relaxed Sm5Ge2Bi crystal from OQMD. Energies are from GGA-PBE.

abc: 9.0153 9.0153 9.0153
angles: 126.89 126.89 78.43
Closest atoms and distances in Å follow each position.
Positions (direct):
Sm (0.0000, 0.0000, 0.0000)  4 Ge 3.09
Sm (0.0171, 0.5171, 0.8135)  3 Ge 2.98-3.12
Sm (0.2035, 0.0171, 0.5000)  3 Ge 2.98-3.12
Sm (0.2965, 0.7965, 0.8135)  3 Ge 2.98-3.12
Sm (0.4829, 0.2965, 0.5000)  3 Ge 2.98-3.12
Sm (0.5000, 0.5000, 0.0000)  4 Ge 3.09
Sm (0.5171, 0.7035, 0.5000)  3 Ge 2.98-3.12
Sm (0.7035, 0.2035, 0.1865)  3 Ge 2.98-3.12
Sm (0.7965, 0.9829, 0.5000)  3 Ge 2.98-3.12
Sm (0.9829, 0.4829, 0.1865)  3 Ge 2.98-3.12
Ge (0.1458, 0.3542, 0.5000)  8 Sm 2.98-3.12, 1 Ge 3.32
Ge (0.3542, 0.8542, 0.2084)  8 Sm 2.98-3.12, 1 Ge 3.32
Ge (0.6458, 0.1458, 0.7916)  8 Sm 2.98-3.12, 1 Ge 3.32
Ge (0.8542, 0.6458, 0.5000)  8 Sm 2.98-3.12, 1 Ge 3.32
Bi (0.2500, 0.2500, 0.0000)  10 Sm 3.41-3.49
Bi (0.7500, 0.7500, 0.0000)  10 Sm 3.41-3.49

size of the total moment = 4.27 Bohr magnetons per cell
calculated total energy = -5.348 eV/atom
space-group type = I4/mcm (140)

# 12
Here is a relaxed NaTh2Te6 crystal from OQMD. Energies are from GGA-PBE.

abc: 12.0061 12.0061 12.0061
angles: 158.85 150.21 36.82
Closest atoms and distances in Å follow each position.
Positions (direct):
Na (0.0000, 0.0000, 0.0000)  8 Te 3.48
Th (0.3251, 0.8251, 0.5000)  8 Te 3.19-3.28
Th (0.6749, 0.1749, 0.5000)  8 Te 3.19-3.28
Te (0.1555, 0.4035, 0.7519)  2 Te 3.06-3.11, 2 Th 3.22
Te (0.2239, 0.2239, 0.0000)  4 Th 3.19-3.28
Te (0.3484, 0.5965, 0.7519)  2 Te 3.06-3.11, 2 Th 3.22
Te (0.6516, 0.4035, 0.2481)  2 Te 3.06-3.11, 2 Th 3.22
Te (0.7761, 0.7761, 0.0000)  4 Th 3.19-3.28
Te (0.8445, 0.5965, 0.2481)  2 Te 3.06-3.11, 2 Th 3.22

size of the total moment = 0.01 Bohr magnetons per cell
calculated total energy = -4.932 eV/atom
space-group type = Immm (71)